AgPtPb2 PBE relaxed; total moment = 0.0 μB per cell; formation energy from the elements = 37 meV per atom; N(E_F) = 2.515 states/eV/f.u.; SG = Fm-3m (225)
1.0
0.000 3.564 3.564
3.564 0.000 3.564
3.564 3.564 0.000
Ag Pt Pb
1 1 2
direct
0.000 0.000 0.000
0.500 0.500 0.500
0.250 0.250 0.250
0.750 0.750 0.750

=====

NbCdBi PBE relaxed; total moment = 0.0 μB per cell; formation energy from the elements = 190 meV per atom; N(E_F) = 2.705 states/eV/f.u.; SG = R-3m (166)
1.0
1.654 0.955 15.794
-1.654 0.955 15.794
0.000 -1.910 15.794
Nb Cd Bi
2 2 2
direct
0.187 0.187 0.187
0.813 0.813 0.813
0.360 0.360 0.360
0.640 0.640 0.640
0.093 0.093 0.093
0.907 0.907 0.907

=====

Question: Which of these has the lowest formation energy from the elements?
Answer: AgPtPb2

=====

Question: Look up the N(E_F) of the first one.
Answer: 2.515 states/eV/f.u.